Computed, not measured: an optimized crystal structure of DyMgAg2 at the GGA-PBE level of DFT. Values from VASP.

Quantum ESPRESSO input file:
```
&SYSTEM
  ibrav = 0, nat = 4, ntyp = 3
/
ATOMIC_SPECIES
Dy 162.50 Dy.upf
Ag 107.87 Ag.upf
Mg 24.30 Mg.upf
CELL_PARAMETERS angstrom
3.492 0.000 0.000
0.000 3.492 0.000
0.000 0.000 7.033
ATOMIC_POSITIONS angstrom
Dy 1.746 1.746 3.516
Ag 0.000 0.000 1.603
Mg 1.746 1.746 0.000
Ag 0.000 0.000 5.430
```

Values from the calculation:
As for the formation energy from the elements: -0.26 eV per atom. The symmetry is P4/mmm (123).